1.
A plane-wave DFT calculation with GGA-PBE was carried out for a geometry-optimized Ac2La3Sm7 structure.

a b c (Å): 3.6791 6.5786 18.6993
angles (deg): 76.31 90.00 90.00
Fractional positions:
Sm (0.5000, 0.7562, 0.5018)
Sm (0.5000, 0.9331, 0.8373)
Sm (0.5000, 0.2438, 0.4982)
Sm (0.5000, 0.0669, 0.1627)
Sm (0.0000, 0.0000, 0.0000)
Sm (0.0000, 0.4363, 0.8386)
Sm (0.0000, 0.5637, 0.1614)
La (0.0000, 0.8809, 0.6613)
La (0.5000, 0.5000, 0.0000)
La (0.0000, 0.1191, 0.3387)
Ac (0.5000, 0.6241, 0.3261)
Ac (0.5000, 0.3759, 0.6739)

Summary:
* ΔE_f: 0.09 eV per atom
* total magnetization: 0.0 μB/cell
* D(E_F): 1.662 states/eV/atom
* energy: -4.58 eV per atom

---

2.
A plane-wave DFT calculation with GGA-PBE was carried out for a geometry-optimized Ac2La2Sm structure.

a b c (Å): 6.1721 6.7011 10.2446
angles (deg): 109.48 90.00 90.00
Fractional positions:
Ac (0.7457, 0.6436, 0.6046)
Ac (0.2457, 0.1723, 0.9935)
Ac (0.2457, 0.3564, 0.3954)
Ac (0.7457, 0.8277, 0.0065)
La (0.7457, 0.2346, 0.7917)
La (0.7457, 0.0272, 0.4011)
La (0.2457, 0.7654, 0.2083)
La (0.2457, 0.9728, 0.5989)
Sm (0.2457, 0.5617, 0.8002)
Sm (0.7457, 0.4383, 0.1998)

Summary:
* ΔE_f: 0.04 eV per atom
* total magnetization: 0.0 μB/cell
* D(E_F): 1.810 states/eV/atom
* excess energy over the best structure of this formula in the dataset: 0 meV/atom
* energy: -4.51 eV per atom

---

3.
A plane-wave DFT calculation with GGA-PBE was carried out for a geometry-optimized Ac5La2Sm6 structure.

a b c (Å): 3.8011 12.1579 21.9384
angles (deg): 90.00 90.00 90.00
Fractional positions:
Ac (0.5000, 0.9506, 0.7930)
Ac (0.5000, 0.8044, 0.0746)
Ac (0.5000, 0.5494, 0.2930)
Ac (0.5000, 0.3044, 0.4254)
Ac (0.5000, 0.4506, 0.7070)
Ac (0.5000, 0.0494, 0.2070)
Ac (0.5000, 0.6956, 0.5746)
Ac (0.5000, 0.5000, 0.0000)
Ac (0.5000, 0.0000, 0.5000)
Ac (0.5000, 0.1956, 0.9254)
La (0.0000, 0.2078, 0.7650)
La (0.0000, 0.2922, 0.2650)
La (0.0000, 0.7078, 0.7350)
La (0.0000, 0.7922, 0.2350)
Sm (0.0000, 0.4492, 0.8540)
Sm (0.0000, 0.5791, 0.4370)
Sm (0.0000, 0.9492, 0.6460)
Sm (0.0000, 0.0508, 0.3540)
Sm (0.5000, 0.6946, 0.8770)
Sm (0.0000, 0.5508, 0.1460)
Sm (0.5000, 0.8054, 0.3770)
Sm (0.0000, 0.9209, 0.9370)
Sm (0.5000, 0.1946, 0.6230)
Sm (0.5000, 0.3054, 0.1230)
Sm (0.0000, 0.0791, 0.0630)
Sm (0.0000, 0.4209, 0.5630)

Summary:
* ΔE_f: 0.09 eV per atom
* total magnetization: 0.0 μB/cell
* D(E_F): 1.371 states/eV/atom
* energy: -4.43 eV per atom

---

4.
A plane-wave DFT calculation with GGA-PBE was carried out for a geometry-optimized AcLa5Sm8 structure.

a b c (Å): 3.6524 14.6858 9.7279
angles (deg): 83.24 100.82 90.00
Fractional positions:
La (0.7029, 0.0096, 0.4058)
La (0.3699, 0.9908, 0.7398)
La (0.6223, 0.4201, 0.2446)
La (0.0389, 0.0085, 0.0778)
La (0.2350, 0.5895, 0.4700)
Sm (0.5057, 0.8124, 0.0113)
Sm (0.2406, 0.2115, 0.4813)
Sm (0.8501, 0.7541, 0.7002)
Sm (0.5758, 0.2051, 0.1516)
Sm (0.0443, 0.6176, 0.0886)
Sm (0.9118, 0.2105, 0.8237)
Sm (0.7938, 0.3942, 0.5876)
Sm (0.1742, 0.8107, 0.3483)
Ac (0.4348, 0.4654, 0.8695)

Summary:
* ΔE_f: 0.13 eV per atom
* total magnetization: 0.0 μB/cell
* D(E_F): 1.532 states/eV/atom
* energy: -4.62 eV per atom